1.
6
Lattice="-3.371 2.834 -1.693 -4.141 0.337 2.235 -1.124 3.964 2.300" Properties=species:S:1:pos:R:3 comment="LiScNi4, relaxed, DFT GGA-PBEsol" delta_e_f_ev_per_atom=-0.3412 pbc="T T T"
Ni -3.236 2.673 1.065
Ni -4.926 4.094 0.216
Ni -3.799 4.660 2.218
Ni -5.312 2.842 2.186
Sc -6.477 5.351 2.132
Li 0.000 0.000 0.000


2.
5
Lattice="4.463 0.000 0.000 0.000 4.463 0.000 0.000 0.000 4.463" Properties=species:S:1:pos:R:3 comment="LaFe3Cu, relaxed, DFT GGA-PBEsol" delta_e_f_ev_per_atom=0.8132 pbc="T T T"
Fe 0.000 0.000 2.232
Fe 2.232 0.000 0.000
Fe 0.000 2.232 0.000
Cu 0.000 0.000 0.000
La 2.232 2.232 2.232


3.
5
Lattice="4.585 0.000 0.000 0.000 4.585 0.000 0.000 0.000 4.670" Properties=species:S:1:pos:R:3 comment="TcAsPS2, relaxed, DFT GGA-PBEsol" formation_energy_uncorrected_mev_per_atom=1210 pbc="T T T"
S 2.293 0.000 0.000
S 0.000 2.293 0.000
As 0.000 0.000 0.000
P 0.000 0.000 2.335
Tc 2.293 2.293 2.335


4.
4
Lattice="3.740 0.000 0.000 0.000 4.077 0.000 0.000 0.000 4.077" Properties=species:S:1:pos:R:3 comment="ZrAgRh2, relaxed, DFT GGA-PBEsol" delta_e_f_ev_per_atom=-0.5161 pbc="T T T"
Zr 1.870 2.039 2.039
Rh 0.000 2.039 0.000
Rh 0.000 0.000 2.039
Ag 1.870 0.000 0.000